(1)
Compound: HfGaNiAs
Source: the Alexandria database
Functional: PBE
Structure: relaxed

Properties
Volume (A^3/atom): 16.39
SG: Pmm2 (25)
ΔE to the lowest computed polymorph (meV/atom): 0
Crystal system: orthorhombic
Energy of formation from the pure elements (eV/atom): -0.4854

Geometry as POSCAR:
```
HfGaNiAs
1.0
3.5245 0.0000 0.0000
0.0000 3.7511 0.0000
0.0000 0.0000 4.9580
Ga Hf Ni As
1 1 1 1
Cartesian
1.7623 0.0000 0.0812
1.7623 1.8756 2.1563
0.0000 1.8756 4.6097
0.0000 0.0000 2.9610
```

(2)
Compound: HfGaAsP2
Source: the Alexandria database
Functional: PBE
Structure: relaxed

Properties
Volume (A^3/atom): 21.47
SG: P4/mmm (123)
Crystal system: tetragonal
Energy of formation from the pure elements (eV/atom): 0.8052

Geometry as POSCAR:
```
HfGaAsP2
1.0
-1.4051 0.2960 4.2258
1.9241 -4.9354 0.9855
3.9249 1.7660 1.1813
Ga As P Hf
1 1 2 1
Cartesian
0.0000 0.0000 0.0000
2.2220 -1.4367 3.1963
1.9624 0.8830 0.5907
-0.7025 0.1480 2.1129
0.9621 -2.4677 0.4927
```